(1)
LaCdMo2: optimized geometry, PBE.

For the formation energy, the calculation gives 0.677 eV per atom. As for the density: 8.85 g cm⁻³. For the volume, the calculation gives 83.2 Å³ per cell. The symmetry is Pmmm (47).

a = 3.528 Å, b = 4.838 Å, c = 4.873 Å
α = 90.00°, β = 90.00°, γ = 90.00°
Atoms (fractional coordinates):
La 0.000 0.000 0.000
Cd 0.500 0.000 0.500
Mo 0.000 0.500 0.500
Mo 0.500 0.500 0.000


(2)
LaCd2Mo: optimized geometry, PBE.

For the energy above the most stable polymorph in this dataset, the calculation gives 8.7 kJ per mole of atoms. For the formation energy, the calculation gives 0.331 eV per atom. As for the density: 8.29 g cm⁻³. For the volume, the calculation gives 92.1 Å³ per cell. The symmetry is P4/mmm (123).

a = 4.329 Å, b = 4.329 Å, c = 4.915 Å
α = 90.00°, β = 90.00°, γ = 90.00°
Atoms (fractional coordinates):
La 0.000 0.000 0.000
Cd 0.000 0.500 0.500
Cd 0.500 0.000 0.500
Mo 0.500 0.500 0.000


(3)
LaCdMo2: optimized geometry, PBE.

For the formation energy, the calculation gives 0.616 eV per atom. As for the density: 8.27 g cm⁻³. For the volume, the calculation gives 88.9 Å³ per cell. The symmetry is P2/m (10).

a = 3.234 Å, b = 5.046 Å, c = 5.453 Å
α = 90.00°, β = 91.76°, γ = 90.00°
Atoms (fractional coordinates):
La 0.000 0.000 0.000
Cd 0.500 0.000 0.500
Mo 0.300 0.500 0.810
Mo 0.700 0.500 0.190


(4)
LaCdMo2: optimized geometry, PBE.

For the formation energy, the calculation gives 0.825 eV per atom. As for the density: 9.09 g cm⁻³. For the volume, the calculation gives 243.0 Å³ per cell. The symmetry is R-3m (166).

a = 2.956 Å, b = 2.956 Å, c = 32.104 Å
α = 90.00°, β = 90.00°, γ = 120.00°
Atoms (fractional coordinates):
La 0.000 0.000 0.000
La 0.333 0.667 0.667
La 0.667 0.333 0.333
Cd 0.000 0.000 0.500
Cd 0.333 0.667 0.167
Cd 0.667 0.333 0.833
Mo 0.000 0.000 0.243
Mo 0.000 0.000 0.757
Mo 0.333 0.667 0.423
Mo 0.333 0.667 0.910
Mo 0.667 0.333 0.090
Mo 0.667 0.333 0.577


(5)
La4CdMo: optimized geometry, PBE.

For the formation energy, the calculation gives 0.759 eV per atom. As for the density: 6.83 g cm⁻³. For the volume, the calculation gives 185.7 Å³ per cell. The symmetry is F-43m (216).

a = 6.404 Å, b = 6.404 Å, c = 6.404 Å
α = 60.00°, β = 60.00°, γ = 60.00°
Atoms (fractional coordinates):
La 0.124 0.124 0.124
La 0.124 0.124 0.629
La 0.124 0.629 0.124
La 0.629 0.124 0.124
Cd 0.500 0.500 0.500
Mo 0.750 0.750 0.750


(6)
LaCdMo2: optimized geometry, PBE.

For the formation energy, the calculation gives 0.574 eV per atom. As for the density: 8.81 g cm⁻³. For the volume, the calculation gives 167.2 Å³ per cell. The symmetry is I-4m2 (119).

a = 4.889 Å, b = 4.889 Å, c = 6.992 Å
α = 90.00°, β = 90.00°, γ = 90.00°
Atoms (fractional coordinates):
La 0.000 0.000 0.000
La 0.500 0.500 0.500
Cd 0.000 0.500 0.250
Cd 0.500 0.000 0.750
Mo 0.000 0.000 0.500
Mo 0.000 0.500 0.750
Mo 0.500 0.000 0.250
Mo 0.500 0.500 0.000


(7)
LaCdMo: optimized geometry, PBE.

For the energy above the most stable polymorph in this dataset, the calculation gives 4.8 kJ per mole of atoms. For the formation energy, the calculation gives 0.472 eV per atom. As for the density: 7.92 g cm⁻³. For the volume, the calculation gives 145.6 Å³ per cell. The symmetry is I4mm (107).

a = 3.630 Å, b = 3.630 Å, c = 11.050 Å
α = 90.00°, β = 90.00°, γ = 90.00°
Atoms (fractional coordinates):
La 0.000 0.000 0.000
La 0.500 0.500 0.500
Cd 0.000 0.000 0.708
Cd 0.500 0.500 0.208
Mo 0.000 0.000 0.327
Mo 0.500 0.500 0.827


(8)
LaCdMo2: optimized geometry, PBE.

For the formation energy, the calculation gives 0.327 eV per atom. As for the density: 8.84 g cm⁻³. For the volume, the calculation gives 166.5 Å³ per cell. The symmetry is Cmm2 (35).

a = 3.304 Å, b = 4.999 Å, c = 10.080 Å
α = 90.00°, β = 90.00°, γ = 90.00°
Atoms (fractional coordinates):
La 0.000 0.000 0.000
La 0.500 0.500 0.000
Cd 0.000 0.500 0.698
Cd 0.500 0.000 0.698
Mo 0.000 0.000 0.452
Mo 0.000 0.500 0.262
Mo 0.500 0.000 0.262
Mo 0.500 0.500 0.452


(9)
LaCdMo: optimized geometry, PBE.

For the energy above the most stable polymorph in this dataset, the calculation gives 0.0 kJ per mole of atoms. For the formation energy, the calculation gives 0.422 eV per atom. As for the density: 8.61 g cm⁻³. For the volume, the calculation gives 134.0 Å³ per cell. The symmetry is I4mm (107).

a = 2.986 Å, b = 2.986 Å, c = 15.033 Å
α = 90.00°, β = 90.00°, γ = 90.00°
Atoms (fractional coordinates):
La 0.000 0.000 0.000
La 0.500 0.500 0.500
Cd 0.000 0.000 0.312
Cd 0.500 0.500 0.812
Mo 0.000 0.000 0.670
Mo 0.500 0.500 0.170


(10)
LaCdMo2: optimized geometry, PBE.

For the formation energy, the calculation gives 0.769 eV per atom. As for the density: 8.81 g cm⁻³. For the volume, the calculation gives 167.0 Å³ per cell. The symmetry is I4/mmm (139).

a = 4.285 Å, b = 4.285 Å, c = 9.096 Å
α = 90.00°, β = 90.00°, γ = 90.00°
Atoms (fractional coordinates):
La 0.000 0.000 0.000
La 0.500 0.500 0.500
Cd 0.000 0.000 0.500
Cd 0.500 0.500 0.000
Mo 0.000 0.500 0.250
Mo 0.000 0.500 0.750
Mo 0.500 0.000 0.250
Mo 0.500 0.000 0.750


(11)
La2CdMoN: optimized geometry, PBE.

As for the density: 7.26 g cm⁻³. For the volume, the calculation gives 114.4 Å³ per cell. The symmetry is P4/mmm (123). The value obtained for the formation energy without anion corrections is -521.3 meV/atom.

a = 5.328 Å, b = 5.328 Å, c = 4.031 Å
α = 90.00°, β = 90.00°, γ = 90.00°
Atoms (fractional coordinates):
La 0.000 0.500 0.000
La 0.500 0.000 0.000
Cd 0.000 0.000 0.500
Mo 0.500 0.500 0.500
N 0.500 0.500 0.000


(12)
LaNb2CdMo: optimized geometry, PBE.

For the formation energy, the calculation gives 2.000 eV per atom. As for the density: 6.10 g cm⁻³. For the volume, the calculation gives 145.2 Å³ per cell. The symmetry is P4/mmm (123).

a = 5.081 Å, b = 5.081 Å, c = 5.625 Å
α = 90.00°, β = 90.00°, γ = 90.00°
Atoms (fractional coordinates):
La 0.000 0.000 0.000
Nb 0.000 0.500 0.500
Nb 0.500 0.000 0.500
Cd 0.000 0.000 0.500
Mo 0.500 0.500 0.000


Question: Which formula does entry 6 have?
Answer: LaCdMo2